No. 1
Compound: Ce3Pr3HoTe8
Source: Alexandria via LeMat-Bulk
Functional: PBE
Structure: optimized geometry

CIF file:
```
data_Ce3Pr3HoTe8
_chemical_formula_sum 'Ce3 Pr3 Ho1 Te8'
_symmetry_space_group_name_H-M 'P 1'
_symmetry_Int_Tables_number 1
_cell_length_a 9.003
_cell_length_b 9.003
_cell_length_c 9.003
_cell_angle_alpha 59.80
_cell_angle_beta 59.80
_cell_angle_gamma 59.80
loop_
_symmetry_equiv_pos_as_xyz
'x,y,z'
loop_
_atom_site_label
_atom_site_type_symbol
_atom_site_fract_x
_atom_site_fract_y
_atom_site_fract_z
Ce1 Ce 0.000 0.500 0.500
Ce2 Ce 0.500 0.000 0.500
Ce3 Ce 0.500 0.500 0.000
Pr1 Pr 0.000 0.000 0.500
Pr2 Pr 0.000 0.500 0.000
Pr3 Pr 0.500 0.000 0.000
Ho1 Ho 0.000 0.000 0.000
Te1 Te 0.247 0.247 0.751
Te2 Te 0.247 0.751 0.247
Te3 Te 0.249 0.753 0.753
Te4 Te 0.251 0.251 0.251
Te5 Te 0.749 0.749 0.749
Te6 Te 0.751 0.247 0.247
Te7 Te 0.753 0.249 0.753
Te8 Te 0.753 0.753 0.249
```

* total magnetic moment: 3.8 μB per formula unit
* uncorrected formation energy: -1.423 eV/atom

=====

No. 2
Compound: CePr4Ho3Te8
Source: Alexandria via LeMat-Bulk
Functional: PBE
Structure: optimized geometry

CIF file:
```
data_CePr4Ho3Te8
_chemical_formula_sum 'Ce1 Pr4 Ho3 Te8'
_symmetry_space_group_name_H-M 'P 1'
_symmetry_Int_Tables_number 1
_cell_length_a 8.988
_cell_length_b 8.988
_cell_length_c 8.988
_cell_angle_alpha 58.85
_cell_angle_beta 58.85
_cell_angle_gamma 58.85
loop_
_symmetry_equiv_pos_as_xyz
'x,y,z'
loop_
_atom_site_label
_atom_site_type_symbol
_atom_site_fract_x
_atom_site_fract_y
_atom_site_fract_z
Ce1 Ce 0.000 0.000 0.000
Pr1 Pr 0.000 0.000 0.500
Pr2 Pr 0.000 0.500 0.000
Pr3 Pr 0.500 0.000 0.000
Pr4 Pr 0.500 0.500 0.500
Ho1 Ho 0.000 0.500 0.500
Ho2 Ho 0.500 0.000 0.500
Ho3 Ho 0.500 0.500 0.000
Te1 Te 0.249 0.249 0.740
Te2 Te 0.249 0.740 0.249
Te3 Te 0.256 0.256 0.256
Te4 Te 0.260 0.751 0.751
Te5 Te 0.740 0.249 0.249
Te6 Te 0.744 0.744 0.744
Te7 Te 0.751 0.260 0.751
Te8 Te 0.751 0.751 0.260
```

* total magnetic moment: 1.0 μB per formula unit
* uncorrected formation energy: -1.361 eV/atom

=====

No. 3
Compound: Ce3Pr4HoTe8
Source: Alexandria via LeMat-Bulk
Functional: PBE
Structure: optimized geometry

CIF file:
```
data_Ce3Pr4HoTe8
_chemical_formula_sum 'Ce3 Pr4 Ho1 Te8'
_symmetry_space_group_name_H-M 'P 1'
_symmetry_Int_Tables_number 1
_cell_length_a 9.004
_cell_length_b 9.004
_cell_length_c 9.004
_cell_angle_alpha 59.71
_cell_angle_beta 59.71
_cell_angle_gamma 59.71
loop_
_symmetry_equiv_pos_as_xyz
'x,y,z'
loop_
_atom_site_label
_atom_site_type_symbol
_atom_site_fract_x
_atom_site_fract_y
_atom_site_fract_z
Ce1 Ce 0.000 0.500 0.500
Ce2 Ce 0.500 0.000 0.500
Ce3 Ce 0.500 0.500 0.000
Pr1 Pr 0.000 0.000 0.500
Pr2 Pr 0.000 0.500 0.000
Pr3 Pr 0.500 0.000 0.000
Pr4 Pr 0.500 0.500 0.500
Ho1 Ho 0.000 0.000 0.000
Te1 Te 0.244 0.244 0.753
Te2 Te 0.244 0.753 0.244
Te3 Te 0.247 0.756 0.756
Te4 Te 0.251 0.251 0.251
Te5 Te 0.749 0.749 0.749
Te6 Te 0.753 0.244 0.244
Te7 Te 0.756 0.247 0.756
Te8 Te 0.756 0.756 0.247
```

* total magnetic moment: 3.5 μB per formula unit
* uncorrected formation energy: -1.393 eV/atom

=====

No. 4
Compound: Ce2PrHo3Te6
Source: Alexandria via LeMat-Bulk
Functional: PBE
Structure: optimized geometry

CIF file:
```
data_Ce2PrHo3Te6
_chemical_formula_sum 'Ce2 Pr1 Ho3 Te6'
_symmetry_space_group_name_H-M 'P 1'
_symmetry_Int_Tables_number 1
_cell_length_a 9.942
_cell_length_b 9.942
_cell_length_c 8.957
_cell_angle_alpha 104.57
_cell_angle_beta 104.57
_cell_angle_gamma 25.38
loop_
_symmetry_equiv_pos_as_xyz
'x,y,z'
loop_
_atom_site_label
_atom_site_type_symbol
_atom_site_fract_x
_atom_site_fract_y
_atom_site_fract_z
Ce1 Ce 0.167 0.167 0.334
Ce2 Ce 0.833 0.833 0.666
Pr1 Pr 0.500 0.500 0.000
Ho1 Ho 0.165 0.165 0.832
Ho2 Ho 0.500 0.500 0.500
Ho3 Ho 0.835 0.835 0.168
Te1 Te 0.002 0.002 0.740
Te2 Te 0.329 0.329 0.923
Te3 Te 0.336 0.336 0.409
Te4 Te 0.664 0.664 0.591
Te5 Te 0.671 0.671 0.077
Te6 Te 0.998 0.998 0.260
```

* total magnetic moment: 2.6 μB per formula unit
* uncorrected formation energy: -1.331 eV/atom

=====

Q: uncorrected formation energy of number 4 (Ce2PrHo3Te6)?
A: -1.331 eV/atom

=====

Q: Look up the uncorrected formation energy of the fourth one.
A: -1.331 eV/atom

=====

Q: total magnetic moment of number 3 (Ce3Pr4HoTe8)?
A: 3.5 μB per formula unit

=====

Q: The lowest total magnetic moment belongs to which entry?
A: CePr4Ho3Te8